No. 1
The following is a GGA-PBE calculation of a relaxed structure of CrInSiP, from Alexandria.

energy relative to the elements, uncorrected	2.306	kcal/mol of atoms
energy relative to the lowest polymorph listed for this composition	123	meV/atom

Geometry as CIF:
```
data_CrInSiP
_chemical_formula_sum 'Cr1 In1 Si1 P1'
_cell_length_a 2.969
_cell_length_b 4.244
_cell_length_c 6.420
_cell_angle_alpha 72.27
_cell_angle_beta 77.17
_cell_angle_gamma 69.76
_symmetry_space_group_name_H-M 'P 1'
_symmetry_Int_Tables_number 1
_symmetry_space_group_name_Hall 'P 1'
loop_
_atom_site_label
_atom_site_type_symbol
_atom_site_fract_x
_atom_site_fract_y
_atom_site_fract_z
Cr1 Cr 0.000 0.000 0.000
In1 In 0.441 0.744 0.387
Si1 Si 0.586 0.132 0.688
P1 P 0.287 0.421 0.009
```

No. 2
The following is a GGA-PBE calculation of a relaxed structure of CrInSiP, from Alexandria.

energy relative to the elements, uncorrected	2.965	kcal/mol of atoms
energy relative to the lowest polymorph listed for this composition	152	meV/atom

Geometry as CIF:
```
data_CrInSiP
_chemical_formula_sum 'Cr2 In2 Si2 P2'
_cell_length_a 2.835
_cell_length_b 3.724
_cell_length_c 13.044
_cell_angle_alpha 90.00
_cell_angle_beta 90.00
_cell_angle_gamma 90.00
_symmetry_space_group_name_H-M 'A m m 2'
_symmetry_Int_Tables_number 38
_symmetry_space_group_name_Hall 'A 2 -2'
loop_
_atom_site_label
_atom_site_type_symbol
_atom_site_fract_x
_atom_site_fract_y
_atom_site_fract_z
Cr1 Cr 0.000 0.000 0.000
In1 In 0.500 0.000 0.805
Si1 Si 0.500 0.000 0.153
P1 P 0.500 0.000 0.494
```

No. 3
The following is a GGA-PBE calculation of a relaxed structure of CrInSiP, from Alexandria.

energy relative to the elements, uncorrected	1.332	kcal/mol of atoms
energy relative to the lowest polymorph listed for this composition	81	meV/atom

Geometry as CIF:
```
data_CrInSiP
_chemical_formula_sum 'Cr1 In1 Si1 P1'
_cell_length_a 3.175
_cell_length_b 4.223
_cell_length_c 5.683
_cell_angle_alpha 77.57
_cell_angle_beta 73.84
_cell_angle_gamma 67.97
_symmetry_space_group_name_H-M 'P 1'
_symmetry_Int_Tables_number 1
_symmetry_space_group_name_Hall 'P 1'
loop_
_atom_site_label
_atom_site_type_symbol
_atom_site_fract_x
_atom_site_fract_y
_atom_site_fract_z
Cr1 Cr 0.000 0.000 0.000
In1 In 0.714 0.011 0.565
Si1 Si 0.572 0.609 0.249
P1 P 0.306 0.431 0.957
```

No. 4
The following is a GGA-PBE calculation of a relaxed structure of CrInSiP, from Alexandria.

energy relative to the elements, uncorrected	3.105	kcal/mol of atoms
energy relative to the lowest polymorph listed for this composition	158	meV/atom

Geometry as CIF:
```
data_CrInSiP
_chemical_formula_sum 'Cr2 In2 Si2 P2'
_cell_length_a 3.205
_cell_length_b 3.147
_cell_length_c 13.695
_cell_angle_alpha 90.00
_cell_angle_beta 90.00
_cell_angle_gamma 90.00
_symmetry_space_group_name_H-M 'A m m 2'
_symmetry_Int_Tables_number 38
_symmetry_space_group_name_Hall 'A 2 -2'
loop_
_atom_site_label
_atom_site_type_symbol
_atom_site_fract_x
_atom_site_fract_y
_atom_site_fract_z
Cr1 Cr 0.000 0.000 0.000
In1 In 0.000 0.000 0.333
Si1 Si 0.500 0.000 0.164
P1 P 0.500 0.000 0.546
```

No. 5
The following is a GGA-PBE calculation of a relaxed structure of CrInSiP, from Alexandria.

energy relative to the elements, uncorrected	-0.431	kcal/mol of atoms
energy relative to the lowest polymorph listed for this composition	5	meV/atom

Geometry as CIF:
```
data_CrInSiP
_chemical_formula_sum 'Cr1 In1 Si1 P1'
_cell_length_a 2.903
_cell_length_b 2.903
_cell_length_c 8.049
_cell_angle_alpha 90.00
_cell_angle_beta 90.00
_cell_angle_gamma 90.00
_symmetry_space_group_name_H-M 'P 4 m m'
_symmetry_Int_Tables_number 99
_symmetry_space_group_name_Hall 'P 4 -2'
loop_
_atom_site_label
_atom_site_type_symbol
_atom_site_fract_x
_atom_site_fract_y
_atom_site_fract_z
Cr1 Cr 0.000 0.000 0.000
In1 In 0.500 0.500 0.521
Si1 Si 0.500 0.500 0.184
P1 P 0.500 0.500 0.855
```

No. 6
The following is a GGA-PBE calculation of a relaxed structure of CrInSiP, from Alexandria.

energy relative to the elements, uncorrected	2.778	kcal/mol of atoms
energy relative to the lowest polymorph listed for this composition	144	meV/atom

Geometry as CIF:
```
data_CrInSiP
_chemical_formula_sum 'Cr2 In2 Si2 P2'
_cell_length_a 8.230
_cell_length_b 3.128
_cell_length_c 5.956
_cell_angle_alpha 90.00
_cell_angle_beta 92.35
_cell_angle_gamma 90.00
_symmetry_space_group_name_H-M 'C 1 m 1'
_symmetry_Int_Tables_number 8
_symmetry_space_group_name_Hall 'C -2y'
loop_
_atom_site_label
_atom_site_type_symbol
_atom_site_fract_x
_atom_site_fract_y
_atom_site_fract_z
Cr1 Cr 0.000 0.000 0.000
In1 In 0.079 0.500 0.361
Si1 Si 0.284 0.000 0.041
P1 P 0.142 0.500 0.788
```

No. 7
The following is a GGA-PBE calculation of a relaxed structure of Cr2InTeP, from Alexandria.

energy relative to the elements, uncorrected	10.730	kcal/mol of atoms

Geometry as CIF:
```
data_Cr2InTeP
_chemical_formula_sum 'Cr2 In1 Te1 P1'
_cell_length_a 4.658
_cell_length_b 4.658
_cell_length_c 5.578
_cell_angle_alpha 90.00
_cell_angle_beta 90.00
_cell_angle_gamma 90.00
_symmetry_space_group_name_H-M 'P 4/m m m'
_symmetry_Int_Tables_number 123
_symmetry_space_group_name_Hall '-P 4 2'
loop_
_atom_site_label
_atom_site_type_symbol
_atom_site_fract_x
_atom_site_fract_y
_atom_site_fract_z
Cr1 Cr 0.000 0.500 0.000
In1 In 0.000 0.000 0.500
Te1 Te 0.500 0.500 0.500
P1 P 0.500 0.500 0.000
```

No. 8
The following is a GGA-PBE calculation of a relaxed structure of PaCrIn2, from Alexandria.

energy relative to the elements	236.0	meV per atom

Geometry as CIF:
```
data_PaCrIn2
_chemical_formula_sum 'Pa1 Cr1 In2'
_cell_length_a 4.307
_cell_length_b 4.307
_cell_length_c 4.833
_cell_angle_alpha 90.00
_cell_angle_beta 90.00
_cell_angle_gamma 90.00
_symmetry_space_group_name_H-M 'P 4/m m m'
_symmetry_Int_Tables_number 123
_symmetry_space_group_name_Hall '-P 4 2'
loop_
_atom_site_label
_atom_site_type_symbol
_atom_site_fract_x
_atom_site_fract_y
_atom_site_fract_z
Pa1 Pa 0.000 0.000 0.000
Cr1 Cr 0.500 0.500 0.000
In1 In 0.000 0.500 0.500
```

The following Fermi-level density of states values (in states/eV/atom) correspond, in order, to the records above: 0.39; 0.60; 0.53; 0.34; 0.50; 0.27; 0.69; 1.20.
The following raw total energy values (in eV/f.u.) correspond, in order, to the records above: -22.8; -22.7; -23.0; -22.7; -23.3; -22.7; -28.2; -23.7.